Compound: Pr4GeSe2
Source: Alexandria via LeMat-Bulk
Functional: PBE
Structure: optimized geometry

## Properties
The final energy comes out at -78.941 eV/cell. The uncorrected formation energy is -8.766 eV per formula unit. For the energy above the most stable polymorph in this dataset, the calculation gives 41 meV per atom. The crystal system is orthorhombic. Its mass density is 6312 kg/m3.

a b c (Å): 4.3961 7.6591 12.4107
angles (deg): 90.00 90.00 90.00
With the nearest neighbours (Å) after each atom.
Fractional coordinates of all 14 atoms:
Se 0.5000 0.3951 0.6876  6 Pr 3.04-3.23
Se 0.5000 0.1049 0.1876  6 Pr 3.04-3.23
Se 0.5000 0.6049 0.3124  6 Pr 3.04-3.23
Se 0.5000 0.8951 0.8124  6 Pr 3.04-3.23
Pr 0.5000 0.7479 0.0497  2 Ge 2.97, 2 Se 3.15-3.23
Pr 0.5000 0.2479 0.4503  2 Ge 2.97, 2 Se 3.15-3.23
Pr 0.0000 0.8787 0.2842  1 Ge 2.83, 4 Se 3.04-3.06
Pr 0.5000 0.7521 0.5497  2 Ge 2.97, 2 Se 3.15-3.23
Pr 0.0000 0.3787 0.2158  1 Ge 2.83, 4 Se 3.04-3.06
Pr 0.5000 0.2521 0.9503  2 Ge 2.97, 2 Se 3.15-3.23
Pr 0.0000 0.1213 0.7158  1 Ge 2.83, 4 Se 3.04-3.06
Pr 0.0000 0.6213 0.7842  1 Ge 2.83, 4 Se 3.04-3.06
Ge 0.0000 0.5000 0.0000  6 Pr 2.83-2.97
Ge 0.0000 0.0000 0.5000  6 Pr 2.83-2.97

Compound: Al2CrAg
Source: Alexandria via LeMat-Bulk
Functional: PBE
Structure: optimized geometry

## Properties
The final energy comes out at -19.702 eV/cell. For the energy above the most stable polymorph in this dataset, the calculation gives 124 meV per atom. The calculation puts the formation energy at 0.0644 eV/atom. The crystal system is monoclinic. Its mass density is 5939 kg/m3.

a b c (Å): 5.0688 5.0688 4.5770
angles (deg): 72.21 72.21 32.43
With the nearest neighbours (Å) after each atom.
Fractional coordinates of all 4 atoms:
Al 0.7567 0.7567 0.6795  3 Cr 2.62-2.75, 4 Ag 2.67-2.72, 4 Al 2.83-2.90
Al 0.0012 0.0012 0.0558  4 Cr 2.64-2.74, 3 Ag 2.67-2.74, 4 Al 2.83-2.90
Cr 0.4941 0.4941 0.5729  7 Al 2.62-2.75, 2 Cr 2.83, 2 Ag 2.90
Ag 0.2480 0.2480 0.1918  7 Al 2.67-2.74, 2 Ag 2.83, 2 Cr 2.90

Compound: BaY2Al
Source: Alexandria via LeMat-Bulk
Functional: PBE
Structure: optimized geometry

## Properties
The final energy comes out at -17.963 eV/cell. The calculation puts the formation energy at 0.1575 eV/atom. The crystal system is orthorhombic. Its mass density is 4439 kg/m3.

a b c (Å): 4.0670 5.7494 5.4734
angles (deg): 90.00 90.00 90.00
With the nearest neighbours (Å) after each atom.
Fractional coordinates of all 4 atoms:
Ba 0.0000 0.5000 0.5000  4 Y 3.41, 4 Al 3.52
Y 0.5000 0.5000 0.0000  4 Ba 3.41, 4 Y 3.52
Y 0.0000 0.0000 0.0000  4 Al 3.41, 4 Y 3.52
Al 0.5000 0.0000 0.5000  4 Y 3.41, 4 Ba 3.52

Compound: Y2PuThS4
Source: Alexandria via LeMat-Bulk
Functional: PBE
Structure: optimized geometry

## Properties
The final energy comes out at -66.435 eV/cell. The uncorrected formation energy is -15.245 eV per formula unit. The crystal system is monoclinic. Its mass density is 7394 kg/m3.

a b c (Å): 3.9272 6.8315 6.9273
angles (deg): 109.07 90.00 90.00
With the nearest neighbours (Å) after each atom.
Fractional coordinates of all 8 atoms:
Y 0.0000 0.5000 0.5000  6 S 2.78-2.79
Y 0.5000 0.0000 0.5000  6 S 2.75-2.76
S 0.0000 0.7570 0.2605  3 Y 2.75-2.78, 1 Pu 2.82, 2 Th 2.85
S 0.5000 0.7516 0.7437  3 Y 2.76-2.79, 2 Pu 2.81, 1 Th 2.85
S 0.0000 0.2430 0.7395  3 Y 2.75-2.78, 1 Pu 2.82, 2 Th 2.85
S 0.5000 0.2484 0.2563  3 Y 2.76-2.79, 2 Pu 2.81, 1 Th 2.85
Pu 0.0000 0.0000 0.0000  6 S 2.81-2.82
Th 0.5000 0.5000 0.0000  6 S 2.85

Compound: MgP4Cl
Source: Alexandria via LeMat-Bulk
Functional: PBE
Structure: optimized geometry

## Properties
The final energy comes out at -24.781 eV/cell. The uncorrected formation energy is 0.299 eV per formula unit. The crystal system is cubic. Its mass density is 2249 kg/m3.

a b c (Å): 5.7669 5.7669 5.7669
angles (deg): 60.00 60.00 60.00
With the nearest neighbours (Å) after each atom.
Fractional coordinates of all 6 atoms:
Mg 0.0000 0.0000 0.0000  12 P 3.48, 4 Cl 3.53
P 0.4041 0.4041 0.4041  3 P 2.21
P 0.4041 0.7877 0.4041  3 P 2.21
P 0.4041 0.4041 0.7877  3 P 2.21
P 0.7877 0.4041 0.4041  3 P 2.21
Cl 0.7500 0.7500 0.7500  12 P 3.33, 4 Mg 3.53

Compound: RbIO2
Source: Alexandria via LeMat-Bulk
Functional: PBE
Structure: optimized geometry

## Properties
The final energy comes out at -45.455 eV/cell. The uncorrected formation energy is -2.718 eV per formula unit. For the energy above the most stable polymorph in this dataset, the calculation gives 0 meV per atom. The crystal system is trigonal. Its mass density is 3514 kg/m3.

a b c (Å): 6.8771 6.8771 8.4592
angles (deg): 90.00 90.00 120.00
With the nearest neighbours (Å) after each atom.
Fractional coordinates of all 12 atoms:
O 0.7062 0.7475 0.7860  1 I 1.89
O 0.2938 0.0413 0.5473  1 I 1.89
O 0.9587 0.2525 0.8807  1 I 1.89
O 0.0413 0.2938 0.4527  1 I 1.89
O 0.2525 0.9587 0.1193  1 I 1.89
O 0.7475 0.7062 0.2140  1 I 1.89
I 0.0000 0.6771 0.1667  2 O 1.89
I 0.3229 0.3229 0.5000  2 O 1.89
I 0.6771 0.0000 0.8333  2 O 1.89
Rb 0.6203 0.0000 0.3333  4 O 2.76-3.01
Rb 0.0000 0.6203 0.6667  4 O 2.76-3.01
Rb 0.3797 0.3797 0.0000  4 O 2.76-3.01

Compound: BaCaLa2Zn
Source: Alexandria via LeMat-Bulk
Functional: PBE
Structure: optimized geometry

## Properties
The final energy comes out at -10.452 eV/cell. The calculation puts the formation energy at 0.9202 eV/atom. The crystal system is tetragonal. Its mass density is 4121 kg/m3.

a b c (Å): 5.9428 5.9403 5.9428
angles (deg): 90.00 90.00 90.00
With the nearest neighbours (Å) after each atom.
Fractional coordinates of all 5 atoms:
La 0.0000 0.0000 0.5000  2 Ba 2.97
La 0.5000 0.0000 0.0000  2 Ba 2.97
Zn 0.5000 0.5000 0.5000  8 La 4.20, 4 Ca 4.20
Ca 0.0000 0.5000 0.0000  2 Ba 2.97
Ba 0.0000 0.0000 0.0000  2 Ca 2.97, 4 La 2.97

Compound: TaTl3Sb
Source: Alexandria via LeMat-Bulk
Functional: PBE
Structure: optimized geometry

## Properties
The final energy comes out at -18.713 eV/cell. The uncorrected formation energy is 4.361 eV per formula unit. For the energy above the most stable polymorph in this dataset, the calculation gives 0 meV per atom. The crystal system is cubic. Its mass density is 9056 kg/m3.

a b c (Å): 5.5171 5.5171 5.5171
angles (deg): 90.00 90.00 90.00
With the nearest neighbours (Å) after each atom.
Fractional coordinates of all 5 atoms:
Ta 0.0000 0.0000 0.0000  6 Tl 2.76
Sb 0.5000 0.5000 0.5000  12 Tl 3.90
Tl 0.5000 0.0000 0.0000  2 Ta 2.76
Tl 0.0000 0.5000 0.0000  2 Ta 2.76
Tl 0.0000 0.0000 0.5000  2 Ta 2.76

Compound: Na12Hg5Pd2
Source: Alexandria via LeMat-Bulk
Functional: PBE
Structure: optimized geometry

## Properties
The final energy comes out at -30.668 eV/cell. The calculation puts the formation energy at -0.1550 eV/atom. The crystal system is monoclinic. Its mass density is 4810 kg/m3.

a b c (Å): 8.1371 8.1371 8.0891
angles (deg): 82.26 82.26 77.44
With the nearest neighbours (Å) after each atom.
Fractional coordinates of all 19 atoms:
Na 0.3684 0.8466 0.6342  1 Pd 3.05, 4 Hg 3.15-3.26, 1 Na 3.23
Na 0.6509 0.0187 0.8159  1 Pd 2.96, 1 Hg 3.13
Na 0.1534 0.6316 0.3658  1 Pd 3.05, 4 Hg 3.15-3.26, 1 Na 3.23
Na 0.0187 0.6509 0.8159  1 Pd 2.96, 1 Hg 3.13
Na 0.1028 0.1028 0.8630  5 Na 3.12-3.40, 2 Hg 3.20-3.41, 2 Pd 3.31
Na 0.9813 0.3491 0.1841  1 Pd 2.96, 1 Hg 3.13
Na 0.8972 0.8972 0.1370  5 Na 3.12-3.40, 2 Hg 3.20-3.41, 2 Pd 3.31
Na 0.4144 0.4144 0.7385  3 Hg 3.05-3.19, 2 Pd 3.34, 2 Na 3.40
Na 0.6316 0.1534 0.3658  1 Pd 3.05, 4 Hg 3.15-3.26, 1 Na 3.23
Na 0.8466 0.3684 0.6342  1 Pd 3.05, 4 Hg 3.15-3.26, 1 Na 3.23
Na 0.3491 0.9813 0.1841  1 Pd 2.96, 1 Hg 3.13
Na 0.5856 0.5856 0.2615  3 Hg 3.05-3.19, 2 Pd 3.34, 2 Na 3.40
Hg 0.7567 0.7567 0.5051  2 Hg 3.08-3.15, 8 Na 3.15-3.42
Hg 0.3658 0.3658 0.1212  2 Pd 2.83, 3 Na 3.05-3.13, 1 Hg 3.15
Hg 0.2433 0.2433 0.4949  2 Hg 3.08-3.15, 8 Na 3.15-3.42
Hg 0.0000 0.0000 0.5000  2 Hg 3.08, 6 Na 3.26-3.41
Hg 0.6342 0.6342 0.8788  2 Pd 2.83, 3 Na 3.05-3.13, 1 Hg 3.15
Pd 0.2868 0.7132 0.0000  2 Hg 2.83, 4 Na 2.96-3.05
Pd 0.7132 0.2868 0.0000  2 Hg 2.83, 4 Na 2.96-3.05

Compound: NaIn2Bi4
Source: Alexandria via LeMat-Bulk
Functional: PBE
Structure: optimized geometry

## Properties
The final energy comes out at -22.329 eV/cell. The calculation puts the formation energy at -0.0013 eV/atom. The crystal system is monoclinic. Its mass density is 7707 kg/m3.

a b c (Å): 5.7434 6.2915 7.2101
angles (deg): 115.82 90.00 90.00
With the nearest neighbours (Å) after each atom.
Fractional coordinates of all 7 atoms:
Bi 0.0000 0.7768 0.5537  2 In 3.20, 4 Bi 3.22-3.40
Bi 0.5000 0.3620 0.7258  3 In 3.16-3.22, 2 Na 3.38, 2 Bi 3.40
Bi 0.0000 0.2232 0.4463  2 In 3.20, 4 Bi 3.22-3.40
Bi 0.5000 0.6380 0.2742  3 In 3.16-3.22, 2 Na 3.38, 2 Bi 3.40
In 0.5000 0.8842 0.7707  1 In 2.98, 5 Bi 3.16-3.22
In 0.5000 0.1158 0.2293  1 In 2.98, 5 Bi 3.16-3.22
Na 0.0000 0.5000 0.0000  6 Bi 3.38-3.59